# Li3Pr2Pt4, relaxed, DFT PBE
data_Li3Pr2Pt4
_cell_length_a 5.616
_cell_length_b 15.154
_cell_length_c 7.749
_cell_angle_alpha 90.00
_cell_angle_beta 90.00
_cell_angle_gamma 90.00
_space_group_name_H-M_alt 'C m c e'
_space_group_IT_number 64
_space_group_name_Hall '-C 2ac 2'
loop_
_atom_site_label
_atom_site_fract_x
_atom_site_fract_y
_atom_site_fract_z
Li1 0.000 0.000 0.000
Li2 0.250 0.218 0.250
Pr1 0.000 0.114 0.587
Pt1 0.000 0.179 0.970
Pt2 0.250 0.052 0.250
# **Total moment**: 0.000 μB/atom
# **Formation enthalpy at 0 K**: -0.79 eV per atom
# **Energy**: -5.18 eV per atom
# **N(E_F)**: 0.432 states/eV per atom